(1)
Entry from Alexandria: a relaxed LaAlPO2 crystal (PBE-GGA).

Results
Volume   89 Å³/f.u.
Space group   Cmcm (63)
Density   4.267 g/cm3

a = 5.2670 Å, b = 5.6048 Å, c = 6.6524 Å
α = 114.91°, β = 90.00°, γ = 90.00°
Atoms (fractional coordinates):
La (0.2500, 0.6227, 0.2454)
La (0.7500, 0.3773, 0.7546)
Al (0.2500, 0.0203, 0.0407)
Al (0.7500, 0.9797, 0.9593)
P (0.7500, 0.7674, 0.5347)
P (0.2500, 0.2326, 0.4653)
O (0.5000, 0.2265, 0.0000)
O (0.0000, 0.7735, 0.0000)
O (0.5000, 0.7735, 0.0000)
O (0.0000, 0.2265, 0.0000)



(2)
Entry from Alexandria: a relaxed LaAlPO2 crystal (PBE-GGA).

Results
Volume   114 Å³/f.u.
Space group   P4/mmm (123)
Density   3.347 g/cm3

a = 4.1895 Å, b = 4.1895 Å, c = 6.4690 Å
α = 90.00°, β = 90.00°, γ = 90.00°
Atoms (fractional coordinates):
P (0.0000, 0.0000, 0.5000)
Al (0.5000, 0.5000, 0.5000)
O (0.0000, 0.5000, 0.0000)
O (0.5000, 0.0000, 0.0000)
La (0.0000, 0.0000, 0.0000)



Which one is most stable, and which one is least stable? (1) is the most stable of them, while (2) is the least stable.



(1)
Entry from Alexandria: a relaxed La2AlPO crystal (PBE-GGA).

Results
Volume   105 Å³/f.u.
Space group   P4/mmm (123)
Density   5.568 g/cm3

a = 5.1507 Å, b = 3.9540 Å, c = 5.1507 Å
α = 90.00°, β = 90.00°, γ = 90.00°
Atoms (fractional coordinates):
P (0.5000, 0.5000, 0.5000)
Al (0.0000, 0.5000, 0.0000)
O (0.0000, 0.0000, 0.0000)
La (0.0000, 0.0000, 0.5000)
La (0.5000, 0.0000, 0.0000)



(2)
Entry from Alexandria: a relaxed La2AlPO crystal (PBE-GGA).

Results
Volume   133 Å³/f.u.
Space group   P4/mmm (123)
Density   4.380 g/cm3

a = 5.5720 Å, b = 4.2954 Å, c = 5.5720 Å
α = 90.00°, β = 90.00°, γ = 90.00°
Atoms (fractional coordinates):
P (0.0000, 0.5000, 0.0000)
Al (0.0000, 0.0000, 0.0000)
O (0.5000, 0.5000, 0.5000)
La (0.0000, 0.0000, 0.5000)
La (0.5000, 0.0000, 0.0000)



Which one is most stable, and which one is least stable? (1) is the most stable of them, while (2) is the least stable.



(1)
Entry from Alexandria: a relaxed LaAlP2O crystal (PBE-GGA).

Results
Volume   137 Å³/f.u.
Space group   P4/mmm (123)
Density   2.956 g/cm3

a = 5.7252 Å, b = 5.7252 Å, c = 4.1791 Å
α = 90.00°, β = 90.00°, γ = 90.00°
Atoms (fractional coordinates):
P (0.0000, 0.5000, 0.0000)
P (0.5000, 0.0000, 0.0000)
Al (0.5000, 0.5000, 0.5000)
O (0.0000, 0.0000, 0.5000)
La (0.0000, 0.0000, 0.0000)



(2)
Entry from Alexandria: a relaxed LaAlP2O crystal (PBE-GGA).

Results
Volume   93 Å³/f.u.
Space group   P4/mmm (123)
Density   4.373 g/cm3

a = 5.1528 Å, b = 5.1528 Å, c = 3.4868 Å
α = 90.00°, β = 90.00°, γ = 90.00°
Atoms (fractional coordinates):
P (0.0000, 0.5000, 0.0000)
P (0.5000, 0.0000, 0.0000)
Al (0.0000, 0.0000, 0.0000)
O (0.0000, 0.0000, 0.5000)
La (0.5000, 0.5000, 0.5000)



Which one is most stable, and which one is least stable? (2) is the most stable of them, while (1) is the least stable.



(1)
Entry from Alexandria: a relaxed LaAl2Os2 crystal (PBE-GGA).

Results
Volume   87 Å³/f.u.
Space group   P4/mbm (127)
Density   10.976 g/cm3

a = 7.6002 Å, b = 7.6002 Å, c = 3.0031 Å
α = 90.00°, β = 90.00°, γ = 90.00°
Atoms (fractional coordinates):
Os (0.3457, 0.8457, 0.0000)
Os (0.8457, 0.6543, 0.0000)
Os (0.6543, 0.1543, 0.0000)
Os (0.1543, 0.3457, 0.0000)
Al (0.1346, 0.6347, 0.5000)
Al (0.6347, 0.8654, 0.5000)
Al (0.8654, 0.3654, 0.5000)
Al (0.3654, 0.1346, 0.5000)
La (0.0000, 0.0000, 0.0000)
La (0.5000, 0.5000, 0.0000)



(2)
Entry from Alexandria: a relaxed LaAl2Os2 crystal (PBE-GGA).

Results
Volume   97 Å³/f.u.
Space group   I4/mmm (139)
Density   9.787 g/cm3

a = 4.2949 Å, b = 4.2949 Å, c = 6.0855 Å
α = 69.34°, β = 69.34°, γ = 90.00°
Atoms (fractional coordinates):
Os (0.3858, 0.3858, 0.2283)
Os (0.6142, 0.6142, 0.7717)
Al (0.7500, 0.2500, 0.5000)
Al (0.2500, 0.7500, 0.5000)
La (0.0000, 0.0000, 0.0000)



Which one is most stable, and which one is least stable? (2) is the most stable of them, while (1) is the least stable.